# MgMnO3 PBE with a Hubbard U optimized geometry
# - Electronic total energy: -5.768 eV/atom
# - Spin magnetization: 3.00 Bohr magnetons per cell
# - Density of states at the Fermi level: 3.32 states/eV/f.u.
data_MgMnO3
_chemical_formula_sum 'Mg1 Mn1 O3'
_space_group_name_H-M_alt 'P m -3 m'
_space_group_IT_number 221
_space_group_name_Hall '-P 4 2 3'
_cell_length_a 3.8112
_cell_length_b 3.8112
_cell_length_c 3.8112
_cell_angle_alpha 90.00
_cell_angle_beta 90.00
_cell_angle_gamma 90.00
loop_
_atom_site_label
_atom_site_type_symbol
_atom_site_fract_x
_atom_site_fract_y
_atom_site_fract_z
Mg1 Mg 0.0000 0.0000 0.0000
Mn1 Mn 0.5000 0.5000 0.5000
O1 O 0.0000 0.0000 0.5000